Below is a geometry-optimized Cs2YNi3F12 structure, with properties calculated at the GGA+U level.

The structure in POSCAR format:
```
Cs2YNi3F12
1.0
7.635 0.169 0.120
3.917 6.556 0.120
3.917 2.280 6.148
Cs Y Ni F
2 1 3 12
Cartesian
9.487 5.522 3.917 Cs
5.982 3.482 2.470 Cs
0.000 0.000 0.000 Y
3.818 0.084 0.060 Ni
1.959 3.278 0.060 Ni
1.959 1.140 3.074 Ni
7.129 4.150 5.723 F
11.949 6.955 2.385 F
9.858 8.143 5.776 F
9.410 2.854 2.025 F
11.949 4.550 5.776 F
7.129 6.773 2.025 F
8.340 4.855 0.664 F
3.520 2.049 4.002 F
5.612 0.862 0.611 F
6.059 6.150 4.362 F
3.520 4.454 0.611 F
8.340 2.232 4.362 F
```

Properties
As for the space-group type: R-3m, No. 166. Its density of states at the Fermi level is 1.15 states/eV per cell. The final energy is -4.809 eV per atom.